(1)
CeNdSm2Y | Alexandria via LeMat-Bulk | PBE | relaxed; electronic total energy = -5.043 eV per atom; ΔH_f (0 K) = 278 meV per atom
1.0
6.014 0.000 0.000
0.000 7.810 0.000
0.000 0.000 7.212
Ce Nd Sm Y
2 2 4 2
Direct
0.000 0.000 0.000
0.500 0.000 0.000
0.250 0.500 0.161
0.750 0.500 0.839
0.250 0.291 0.685
0.250 0.709 0.685
0.750 0.291 0.315
0.750 0.709 0.315
0.250 0.000 0.391
0.750 0.000 0.609

=====

(2)
ThCuBr | Alexandria via LeMat-Bulk | PBE | relaxed; electronic total energy = -5.199 eV per atom; raw formation energy = -0.8029 eV/atom
1.0
2.098 1.212 11.341
-2.098 1.212 11.341
0.000 -2.423 11.341
Th Cu Br
2 2 2
Direct
0.053 0.053 0.053
0.947 0.947 0.947
0.335 0.335 0.335
0.665 0.665 0.665
0.221 0.221 0.221
0.779 0.779 0.779

=====

(3)
K2GaSnS4 | Alexandria via LeMat-Bulk | PBE | relaxed; electronic total energy = -3.955 eV per atom; raw formation energy = -0.7385 eV/atom
1.0
0.000 6.947 11.603
3.154 0.000 11.603
3.154 6.947 0.000
K Ga Sn S
4 2 2 8
Direct
0.060 0.060 0.690
0.310 0.310 0.940
0.690 0.690 0.060
0.940 0.940 0.310
0.375 0.375 0.375
0.625 0.625 0.625
0.125 0.125 0.125
0.875 0.875 0.875
0.001 0.642 0.547
0.309 0.547 0.642
0.358 0.999 0.691
0.453 0.691 0.999
0.547 0.309 0.001
0.642 0.001 0.309
0.691 0.453 0.358
0.999 0.358 0.453